Entry 1:
# Tb6CeTm3Sc2

A relaxed structure of Tb6CeTm3Sc2 (PBE, Alexandria via LeMat-Bulk).

**Magnetic moment**: 1.284 μB/cell
**Energy of formation from the pure elements**: 54 meV/atom

abc: 6.048 6.048 11.559
angles: 95.00 95.00 119.99
Positions (direct):
1 Tb 0.251 0.251 0.753
2 Tm 0.832 0.168 0.500
3 Tb 0.584 0.918 0.753
4 Sc 0.333 0.667 0.000
5 Tb 0.082 0.416 0.247
6 Tb 0.918 0.584 0.753
7 Tm 0.168 0.832 0.500
8 Tb 0.416 0.082 0.247
9 Tb 0.749 0.749 0.247
10 Ce 0.000 0.000 0.000
11 Tm 0.500 0.500 0.500
12 Sc 0.667 0.333 0.000

=====

Entry 2:
# Tb3CeTm6Sc2

A relaxed structure of Tb3CeTm6Sc2 (PBE, Alexandria via LeMat-Bulk).

**Magnetic moment**: 0.910 μB/cell
**Energy of formation from the pure elements**: 51 meV/atom

abc: 6.007 6.007 11.522
angles: 94.98 94.98 119.98
Positions (direct):
1 Sc 0.333 0.667 0.000
2 Tm 0.415 0.082 0.245
3 Tb 0.500 0.500 0.500
4 Tb 0.832 0.168 0.500
5 Tm 0.251 0.251 0.755
6 Tm 0.749 0.749 0.245
7 Tm 0.585 0.918 0.755
8 Ce 0.000 0.000 0.000
9 Tm 0.918 0.585 0.755
10 Sc 0.667 0.333 0.000
11 Tb 0.168 0.832 0.500
12 Tm 0.082 0.415 0.245

=====

Entry 3:
# TbCeYSc

A relaxed structure of TbCeYSc (PBE, Alexandria via LeMat-Bulk).

**Magnetic moment**: 0.948 μB/cell
**Energy of formation from the pure elements**: 158 meV/atom

abc: 5.545 5.545 5.545
angles: 60.00 60.00 60.00
Positions (direct):
1 Y 0.750 0.750 0.750
2 Ce 0.250 0.250 0.250
3 Tb 0.500 0.500 0.500
4 Sc 0.000 0.000 0.000

=====

Entry 4:
# Tb2CeYSc4

A relaxed structure of Tb2CeYSc4 (PBE, Alexandria via LeMat-Bulk).

**Magnetic moment**: 0.546 μB/cell
**Energy of formation from the pure elements**: 71 meV/atom

abc: 3.415 5.918 11.131
angles: 79.69 90.00 90.00
Positions (direct):
1 Sc 0.500 0.256 0.747
2 Sc 0.000 0.747 0.748
3 Tb 0.000 0.000 0.000
4 Sc 0.000 0.253 0.252
5 Ce 0.000 0.500 0.500
6 Sc 0.500 0.744 0.253
7 Tb 0.500 0.000 0.500
8 Y 0.500 0.500 0.000

=====

Entry 5:
# TbCeZrSc

A relaxed structure of TbCeZrSc (PBE, Alexandria via LeMat-Bulk).

**Magnetic moment**: 0.004 μB/cell
**Energy of formation from the pure elements**: 172 meV/atom

abc: 5.331 5.331 5.331
angles: 60.00 60.00 60.00
Positions (direct):
1 Sc 0.000 0.000 0.000
2 Ce 0.250 0.250 0.250
3 Tb 0.750 0.750 0.750
4 Zr 0.500 0.500 0.500

=====

Entry 6:
# Ce2ScTc

A relaxed structure of Ce2ScTc (PBE, Alexandria via LeMat-Bulk).

**Magnetic moment**: 0.000 μB/cell
**Energy of formation from the pure elements**: 139 meV/atom
**Distance to the lowest polymorph of the same formula**: 84 meV/atom

abc: 5.164 4.083 4.083
angles: 90.00 90.00 90.00
Positions (direct):
1 Ce 0.000 0.500 0.000
2 Ce 0.000 0.000 0.500
3 Sc 0.500 0.500 0.500
4 Tc 0.500 0.000 0.000

=====

Entry 7:
# CeSc2Tc2

A relaxed structure of CeSc2Tc2 (PBE, Alexandria via LeMat-Bulk).

**Magnetic moment**: 0.000 μB/cell
**Energy of formation from the pure elements**: -63 meV/atom

abc: 4.492 6.405 8.258
angles: 112.82 105.78 90.00
Positions (direct):
1 Tc 0.832 0.315 0.163
2 Tc 0.168 0.685 0.837
3 Tc 0.832 0.848 0.163
4 Ce 0.645 0.895 0.790
5 Sc 0.325 0.575 0.151
6 Tc 0.168 0.152 0.837
7 Ce 0.355 0.105 0.210
8 Sc 0.675 0.425 0.849
9 Sc 0.019 0.269 0.537
10 Sc 0.981 0.731 0.463

=====

Entry 8:
# Ce2ScTc

A relaxed structure of Ce2ScTc (PBE, Alexandria via LeMat-Bulk).

**Magnetic moment**: 0.004 μB/cell
**Energy of formation from the pure elements**: 165 meV/atom
**Distance to the lowest polymorph of the same formula**: 110 meV/atom

abc: 5.065 5.065 5.065
angles: 60.00 60.00 60.00
Positions (direct):
1 Ce 0.250 0.250 0.250
2 Ce 0.750 0.750 0.750
3 Sc 0.500 0.500 0.500
4 Tc 0.000 0.000 0.000